1.
OsRh after structural relaxation. Source: the Alexandria database, functional PBEsol.

```
OsRh
1.0
0.000 2.726 2.726
2.726 0.000 2.726
2.726 2.726 0.000
Os Rh
1 1
Direct
0.000 0.000 0.000
0.750 0.750 0.750
```

Output
- Total magnetic moment: 0.0 μB/f.u.
- DFT total energy: -0.3198 hartree per atom

2.
OsRh5 after structural relaxation. Source: the Alexandria database, functional PBEsol.

```
OsRh5
1.0
4.657 0.000 0.000
-2.328 4.033 0.000
0.000 0.000 4.326
Os Rh
1 5
Direct
0.000 0.000 0.000
0.000 0.330 0.500
0.330 0.000 0.500
0.333 0.667 0.000
0.667 0.333 0.000
0.670 0.670 0.500
```

Output
- Total magnetic moment: 0.0 μB/f.u.
- DFT total energy: -0.3233 hartree per atom

3.
Os3Rh5 after structural relaxation. Source: the Alexandria database, functional PBEsol.

```
Os3Rh5
1.0
3.777 -3.826 0.000
3.777 3.826 0.000
0.000 0.000 3.770
Os Rh
3 5
Direct
0.000 0.000 0.000
0.248 0.248 0.500
0.752 0.752 0.500
0.000 0.500 0.000
0.249 0.751 0.500
0.500 0.000 0.000
0.500 0.500 0.000
0.751 0.249 0.500
```

Output
- Total magnetic moment: 0.0 μB/f.u.
- DFT total energy: -0.3526 hartree per atom

4.
Os4Rh5 after structural relaxation. Source: the Alexandria database, functional PBEsol.

```
Os4Rh5
1.0
-4.029 4.029 1.897
4.029 -4.029 1.897
4.029 4.029 -1.897
Os Rh
4 5
Direct
0.000 0.339 0.339
0.000 0.661 0.661
0.339 0.000 0.339
0.661 0.000 0.661
0.000 0.000 0.000
0.332 0.332 0.663
0.332 0.668 0.000
0.668 0.332 0.000
0.668 0.668 0.337
```

Output
- Total magnetic moment: 0.0 μB/f.u.
- DFT total energy: -0.3647 hartree per atom

5.
OsRh after structural relaxation. Source: the Alexandria database, functional PBEsol.

```
OsRh
1.0
4.895 -1.353 0.000
4.895 1.353 0.000
-1.550 0.000 6.203
Os Rh
3 3
Direct
0.000 0.000 0.000
0.055 0.055 0.608
0.660 0.660 0.327
0.334 0.334 0.663
0.387 0.387 0.277
0.717 0.717 0.937
```

Output
- Total magnetic moment: 0.0 μB/f.u.
- DFT total energy: -0.3732 hartree per atom

6.
OsRh after structural relaxation. Source: the Alexandria database, functional PBEsol.

```
OsRh
1.0
2.711 0.000 0.000
-1.356 2.348 0.000
0.000 0.000 8.639
Os Rh
2 2
Direct
0.333 0.667 0.378
0.667 0.333 0.622
0.333 0.667 0.870
0.667 0.333 0.130
```

Output
- Total magnetic moment: 0.0 μB/f.u.
- DFT total energy: -0.3742 hartree per atom